An optimized crystal structure of Tl6AuO3. Source: the Alexandria database, functional PBE.

Cell lengths 11.4958, 3.5663, 13.0316 Å; angles 90.00, 110.66, 90.00 degrees
Space group P2_1/m (No. 11)
One atom of each set of equivalent atoms:
Tl  0.0006  0.2500  0.2797 [2 per cell]
Tl  0.1310  0.7500  0.1067 [2 per cell]
Tl  0.1522  0.2500  0.5721 [2 per cell]
Tl  0.3013  0.7500  0.3965 [2 per cell]
Tl  0.3569  0.7500  0.9362 [2 per cell]
Tl  0.4852  0.2500  0.2418 [2 per cell]
Au  0.1377  0.2500  0.9182 [2 per cell]
O  0.0825  0.7500  0.4263 [2 per cell]
O  0.2061  0.2500  0.2517 [2 per cell]
O  0.4947  0.2500  0.8820 [2 per cell]

Computed properties:
Crystal system: monoclinic
Formation energy from raw total energies, eV per atom: -0.430